# CaCe2Al PBE optimized geometry
# **Polymorph energy (0 for the lowest one)**: 0.031 eV per atom
# **Magnetization**: 2.2 μB/cell
# **Formation enthalpy at 0 K**: 0.0146 eV/atom
# **Total DFT energy (no corrections)**: -4.3883 eV per atom
data_CaCe2Al
_cell_length_a 4.689
_cell_length_b 4.689
_cell_length_c 5.012
_cell_angle_alpha 90.00
_cell_angle_beta 90.00
_cell_angle_gamma 90.00
_space_group_name_H-M_alt 'P 4/m m m'
_space_group_IT_number 123
_space_group_name_Hall '-P 4 2'
loop_
_atom_site_label
_atom_site_type_symbol
_atom_site_fract_x
_atom_site_fract_y
_atom_site_fract_z
Ca1 Ca 0.000 0.000 0.000
Ce1 Ce 0.000 0.500 0.500
Al1 Al 0.500 0.500 0.000